## Mn6Ni16As7 (meta-GGA SCAN)

Data for a crystal of Mn6Ni16As7 relaxed with PBEsol.

Cell lengths 7.900, 7.900, 7.900 Å; angles 60.00, 60.00, 60.00 degrees
Site moments in Bohr magnetons follow the coordinates.
Sites, in units of the cell vectors:
Ni 0.618 0.618 0.146  0.12
Ni 0.508 0.164 0.164  0.20
Ni 0.836 0.836 0.836  0.20
Ni 0.618 0.618 0.618  0.12
Ni 0.164 0.508 0.164  0.20
Ni 0.836 0.492 0.836  0.20
Ni 0.164 0.164 0.508  0.20
Ni 0.382 0.382 0.854  0.12
Ni 0.382 0.382 0.382  0.12
Ni 0.164 0.164 0.164  0.20
Ni 0.618 0.146 0.618  0.12
Ni 0.382 0.854 0.382  0.12
Ni 0.836 0.836 0.492  0.20
Ni 0.854 0.382 0.382  0.12
Ni 0.492 0.836 0.836  0.20
Ni 0.146 0.618 0.618  0.12
As 0.500 0.000 0.500  -0.02
As 0.500 0.500 0.000  -0.02
As 0.000 0.500 0.500  -0.02
As 0.500 0.500 0.500  0.01
As 0.500 0.000 0.000  -0.02
As 0.000 0.500 0.000  -0.02
As 0.000 0.000 0.500  -0.02
Mn 0.811 0.811 0.189  3.91
Mn 0.189 0.811 0.189  3.91
Mn 0.811 0.189 0.811  3.91
Mn 0.189 0.189 0.811  3.91
Mn 0.189 0.811 0.811  3.91
Mn 0.811 0.189 0.189  3.91

Values from the calculation:
The calculation puts the energy of formation from the pure elements at -0.389 eV per atom.



## ZnCo6Re (meta-GGA SCAN)

Data for a crystal of ZnCo6Re relaxed with PBEsol.

Cell lengths 6.086, 6.086, 9.955 Å; angles 90.00, 90.00, 109.35 degrees
Site moments in Bohr magnetons follow the coordinates.
Sites, in units of the cell vectors:
Co 0.374 0.122 0.623  0.52
Co 0.374 0.122 0.377  0.52
Co 0.000 0.000 0.000  1.22
Co 0.626 0.878 0.377  0.52
Co 0.122 0.374 0.623  0.52
Co 0.625 0.874 0.875  1.55
Co 0.375 0.126 0.125  1.55
Co 0.122 0.374 0.377  0.52
Co 0.500 0.500 0.500  -0.93
Co 0.878 0.626 0.623  0.52
Co 0.874 0.625 0.875  1.55
Co 0.752 0.248 0.747  1.20
Co 0.126 0.375 0.875  1.55
Co 0.878 0.626 0.377  0.52
Co 0.000 0.000 0.500  -0.67
Co 0.126 0.375 0.125  1.55
Co 0.874 0.625 0.125  1.55
Co 0.375 0.126 0.875  1.55
Co 0.500 0.500 0.000  1.84
Co 0.752 0.248 0.253  1.20
Co 0.248 0.752 0.747  1.20
Co 0.626 0.878 0.623  0.52
Co 0.248 0.752 0.253  1.20
Co 0.625 0.874 0.125  1.55
Re 0.000 0.000 0.755  -0.29
Re 0.752 0.248 0.500  -0.14
Re 0.000 0.000 0.245  -0.29
Re 0.248 0.752 0.500  -0.14
Zn 0.751 0.249 0.000  -0.08
Zn 0.500 0.500 0.749  -0.06
Zn 0.500 0.500 0.251  -0.06
Zn 0.249 0.751 0.000  -0.08

Values from the calculation:
The calculation puts the energy of formation from the pure elements at 0.167 eV per atom.



## BaCd2SbRu (meta-GGA SCAN)

Data for a crystal of BaCd2SbRu relaxed with PBEsol.

Cell lengths 5.174, 5.174, 5.367 Å; angles 90.00, 90.00, 90.00 degrees
Site moments in Bohr magnetons follow the coordinates.
Sites, in units of the cell vectors:
Ba 0.000 0.000 0.500  -0.02
Ru 0.000 0.000 0.000  0.66
Sb 0.500 0.500 0.500  0.15
Cd 0.500 0.000 0.000  -0.01
Cd 0.000 0.500 0.000  -0.01

Values from the calculation:
The calculation puts the uncorrected formation energy at 1.8 eV per formula unit.



## K2CaZnPt (meta-GGA SCAN)

Data for a crystal of K2CaZnPt relaxed with PBEsol.

Cell lengths 5.226, 6.258, 6.258 Å; angles 90.00, 90.00, 90.00 degrees
Sites, in units of the cell vectors:
Pt 0.500 0.500 0.500
K 0.000 0.000 0.500
K 0.000 0.500 0.000
Ca 0.000 0.000 0.000
Zn 0.500 0.000 0.000

Values from the calculation:
The calculation puts the energy of formation from the pure elements at 1.140 eV per atom.